(1)
Entry from Alexandria: a relaxed structure of Ta2TiTcH (GGA-PBE).

The structure belongs to space group P4/mmm (No. 123); the cell edges are 3.9106, 3.9106 and 4.6055 Å and the angles 90.00°, 90.00° and 90.00°. The distinct sites, in fractional coordinates, are Ta at (0.0000, 0.5000, 0.0000), Ti at (0.0000, 0.0000, 0.5000), Tc at (0.5000, 0.5000, 0.5000) and H at (0.0000, 0.0000, 0.0000).

The total energy comes out at -9.09 eV/atom.

=====

(2)
Entry from Alexandria: a relaxed structure of Pr4Cd3Pd (GGA-PBE).

The structure belongs to space group P4/mmm (No. 123); the cell edges are 3.8232, 3.8232 and 15.2978 Å and the angles 90.00°, 90.00° and 90.00°. The distinct sites, in fractional coordinates, are Pr at (0.0000, 0.0000, 0.1112), Pr at (0.0000, 0.0000, 0.3709), Cd at (0.5000, 0.5000, 0.2436), Cd at (0.5000, 0.5000, 0.5000) and Pd at (0.5000, 0.5000, 0.0000).

The calculation puts the formation energy at -0.415 eV per atom. The total energy comes out at -3.80 eV/atom.

=====

(3)
Entry from Alexandria: a relaxed structure of LaErZnPb (GGA-PBE).

The structure belongs to space group F-43m (No. 216); the cell edges are 7.5849, 7.5849 and 7.5849 Å and the angles 90.00°, 90.00° and 90.00°. The distinct sites, in fractional coordinates, are La at (0.0000, 0.0000, 0.0000), Er at (0.0000, 0.0000, 0.5000), Zn at (0.2500, 0.2500, 0.7500) and Pb at (0.2500, 0.2500, 0.2500).

The calculation puts the formation energy at -0.389 eV per atom. The total energy comes out at -4.01 eV/atom.

=====

(4)
Entry from Alexandria: a relaxed structure of NaCd2Bi (GGA-PBE).

The structure belongs to space group I-42d (No. 122); the cell edges are 4.6176, 4.6176 and 21.5758 Å and the angles 90.00°, 90.00° and 90.00°. The distinct sites, in fractional coordinates, are Na at (0.0000, 0.0000, 0.0000), Cd at (0.2491, 0.2500, 0.1250) and Bi at (0.0000, 0.0000, 0.5000).

The calculation puts the formation energy at 0.008 eV per atom. The total energy comes out at -1.75 eV/atom.

=====

(5)
Entry from Alexandria: a relaxed structure of LiZr2Au2 (GGA-PBE).

The structure belongs to space group P4/mbm (No. 127); the cell edges are 7.6547, 7.6547 and 3.5250 Å and the angles 90.00°, 90.00° and 90.00°. The distinct sites, in fractional coordinates, are Li at (0.0000, 0.0000, 0.0000), Zr at (0.1678, 0.3322, 0.5000) and Au at (0.1338, 0.6338, 0.0000).

The calculation puts the formation energy at -0.358 eV per atom. The value obtained for the energy above the most stable polymorph in this dataset is 0 meV/atom. The total energy comes out at -5.47 eV/atom.

=====

(6)
Entry from Alexandria: a relaxed structure of Tb2ThNi6 (GGA-PBE).

The structure belongs to space group Immm (No. 71); the cell edges are 3.6098, 6.9217 and 12.9880 Å and the angles 90.00°, 90.00° and 90.00°. The distinct sites, in fractional coordinates, are Tb at (0.0000, 0.0000, 0.1462), Th at (0.0000, 0.5000, 0.0000), Ni at (0.0000, 0.1774, 0.3353) and Ni at (0.0000, 0.3255, 0.5000).

The calculation puts the formation energy at -0.210 eV per atom. The value obtained for the energy above the most stable polymorph in this dataset is 192 meV/atom. The total energy comes out at -5.92 eV/atom.

=====

(7)
Entry from Alexandria: a relaxed structure of BaTlSb2 (GGA-PBE).

The structure belongs to space group P4/mmm (No. 123); the cell edges are 4.4915, 4.4915 and 6.8834 Å and the angles 90.00°, 90.00° and 90.00°. The distinct sites, in fractional coordinates, are Ba at (0.0000, 0.0000, 0.0000), Tl at (0.0000, 0.0000, 0.5000) and Sb at (0.5000, 0.5000, 0.2907).

The value obtained for the energy above the most stable polymorph in this dataset is 78 meV/atom. The total energy comes out at -3.54 eV/atom. As for the formation energy (no corrections): -0.41 eV per atom.

=====

(8)
Entry from Alexandria: a relaxed structure of NdAs3PdRh2 (GGA-PBE).

The structure belongs to space group R-3m (No. 166, hexagonal axes); the cell edges are 7.3484, 7.3484 and 19.3515 Å and the angles 90.00°, 90.00° and 120.00°. The distinct sites, in fractional coordinates, are Nd at (0.0000, 0.0000, 0.2355), As at (0.0468, 0.5234, 0.2565), Pd at (0.0000, 0.0000, 0.0895), Rh at (0.0000, 0.0000, 0.5000) and Rh at (0.0000, 0.5000, 0.0000).

The calculation puts the formation energy at -0.442 eV per atom. The total energy comes out at -5.96 eV/atom.

=====

(9)
Entry from Alexandria: a relaxed structure of Nd2Y3Te6 (GGA-PBE).

The structure belongs to space group C2/m (No. 12); the cell edges are 7.6301, 13.1484 and 7.6301 Å and the angles 90.00°, 109.55° and 90.00°. The distinct sites, in fractional coordinates, are Nd at (0.0000, 0.1640, 0.0000), Y at (0.0000, 0.0000, 0.5000), Y at (0.0000, 0.3294, 0.5000), Te at (0.2363, 0.5000, 0.7452) and Te at (0.2437, 0.3392, 0.2517).

The total energy comes out at -5.79 eV/atom. As for the formation energy (no corrections): -1.44 eV per atom.

=====

(10)
Entry from Alexandria: a relaxed structure of AcEr2Cu2Ge2 (GGA-PBE).

The structure belongs to space group R-3m (No. 166, hexagonal axes); the cell edges are 4.3760, 4.3760 and 28.6054 Å and the angles 90.00°, 90.00° and 120.00°. The distinct sites, in fractional coordinates, are Ac at (0.0000, 0.0000, 0.0000), Er at (0.0000, 0.0000, 0.1301), Cu at (0.0000, 0.0000, 0.4136) and Ge at (0.0000, 0.0000, 0.2532).

The calculation puts the formation energy at -0.480 eV per atom. The total energy comes out at -4.86 eV/atom.

=====

(11)
Entry from Alexandria: a relaxed structure of Cd2NiRh (GGA-PBE).

The structure belongs to space group F-43m (No. 216); the cell edges are 6.3871, 6.3871 and 6.3871 Å and the angles 90.00°, 90.00° and 90.00°. The distinct sites, in fractional coordinates, are Cd at (0.0000, 0.0000, 0.0000), Cd at (0.2500, 0.2500, 0.2500), Ni at (0.0000, 0.0000, 0.5000) and Rh at (0.2500, 0.2500, 0.7500).

The calculation puts the formation energy at 0.097 eV per atom. The total energy comes out at -3.64 eV/atom.

=====

(12)
Entry from Alexandria: a relaxed structure of GaRhN2O (GGA-PBE).

The structure belongs to space group P4/mmm (No. 123); the cell edges are 3.7988, 3.7988 and 4.2595 Å and the angles 90.00°, 90.00° and 90.00°. The distinct sites, in fractional coordinates, are Ga at (0.0000, 0.0000, 0.0000), Rh at (0.5000, 0.5000, 0.5000), N at (0.0000, 0.5000, 0.5000) and O at (0.5000, 0.5000, 0.0000).

The total energy comes out at -5.57 eV/atom. As for the formation energy (no corrections): 0.83 eV per atom.

=====

(13)
Entry from Alexandria: a relaxed structure of SiMo2P (GGA-PBE).

The structure belongs to space group Immm (No. 71); the cell edges are 3.3229, 4.8019 and 7.3862 Å and the angles 90.00°, 90.00° and 90.00°. The distinct sites, in fractional coordinates, are Si at (0.0000, 0.0000, 0.0000), Mo at (0.0000, 0.5000, 0.2204) and P at (0.0000, 0.0000, 0.5000).

The value obtained for the energy above the most stable polymorph in this dataset is 439 meV/atom. The total energy comes out at -8.15 eV/atom. As for the formation energy (no corrections): -0.03 eV per atom.